{
  "formula": "MnIrI2F",
  "functional": "PBE with a Hubbard U",
  "state": "relaxed",
  "lattice": [[5.591, 0.000, 0.000], [0.000, 3.842, 0.000], [0.000, 0.000, 5.591]],
  "species": ["Mn", "I", "I", "F", "Ir"],
  "frac_coords": [[0.000, 0.000, 0.000], [0.000, 0.000, 0.500], [0.500, 0.000, 0.000], [0.000, 0.500, 0.000], [0.500, 0.500, 0.500]],
  "space_group": "No. 123",
  "vol_a3_per_cell": 120,
  "de_polymorph_ev_per_atom": 0.0000,
  "total_magnetization_mub_per_fu": 5.54
}